## w
Density functional theory data (PBE) for Ba12SrCa6 after structural relaxation.

Lattice parameters (Å, degrees): 10.5155 11.3660 11.3660 69.06 72.04 107.96
With the nearest neighbours (Å) after each atom.
Element x y z (fractional)
Ba 0.5203 0.8436 0.2706  4 Ca 4.16-4.41, 7 Ba 4.20-4.42, 1 Sr 4.37
Ba 0.6767 0.8858 0.8436  4 Ca 4.16-4.41, 7 Ba 4.20-4.42, 1 Sr 4.37
Ba 0.7909 0.2706 0.8858  4 Ca 4.16-4.41, 7 Ba 4.20-4.42, 1 Sr 4.37
Ba 0.4797 0.1564 0.7294  4 Ca 4.16-4.41, 7 Ba 4.20-4.42, 1 Sr 4.37
Ba 0.3233 0.1142 0.1564  4 Ca 4.16-4.41, 7 Ba 4.20-4.42, 1 Sr 4.37
Ba 0.2091 0.7294 0.1142  4 Ca 4.16-4.41, 7 Ba 4.20-4.42, 1 Sr 4.37
Ba 0.2622 0.4277 0.6247  6 Ba 4.20-4.42, 5 Ca 4.22-4.31, 1 Sr 4.37
Ba 0.1131 0.3753 0.0524  6 Ba 4.20-4.42, 5 Ca 4.22-4.31, 1 Sr 4.37
Ba 0.1655 0.0524 0.5723  6 Ba 4.20-4.42, 5 Ca 4.22-4.31, 1 Sr 4.37
Ba 0.7378 0.5723 0.3753  6 Ba 4.20-4.42, 5 Ca 4.22-4.31, 1 Sr 4.37
Ba 0.8869 0.6247 0.9476  6 Ba 4.20-4.42, 5 Ca 4.22-4.31, 1 Sr 4.37
Ba 0.8345 0.9476 0.4277  6 Ba 4.20-4.42, 5 Ca 4.22-4.31, 1 Sr 4.37
Sr 0.0000 0.0000 0.0000  12 Ba 4.37
Ca 0.4234 0.4675 0.2137  9 Ba 4.16-4.41, 3 Ca 4.24-4.32
Ca 0.0442 0.6813 0.5325  9 Ba 4.16-4.41, 3 Ca 4.24-4.32
Ca 0.3629 0.7863 0.6813  9 Ba 4.16-4.41, 3 Ca 4.24-4.32
Ca 0.5766 0.5325 0.7863  9 Ba 4.16-4.41, 3 Ca 4.24-4.32
Ca 0.9558 0.3187 0.4675  9 Ba 4.16-4.41, 3 Ca 4.24-4.32
Ca 0.6371 0.2137 0.3187  9 Ba 4.16-4.41, 3 Ca 4.24-4.32

Summary:
N(E_F) ... 1.39 states/eV/atom
SG ... R-3
Spin magnetization ... 0.000 μB per cell



## x
Density functional theory data (PBE) for Ba12SrCa6 after structural relaxation.

Lattice parameters (Å, degrees): 10.3106 10.3106 10.3106 88.64 88.64 88.64
With the nearest neighbours (Å) after each atom.
Element x y z (fractional)
Ba 0.8009 0.5309 0.4355  4 Ca 4.15-4.52, 5 Ba 4.25-4.55
Ba 0.4355 0.8009 0.5309  4 Ca 4.15-4.52, 5 Ba 4.25-4.55
Ba 0.5309 0.4355 0.8009  4 Ca 4.15-4.52, 5 Ba 4.25-4.55
Ba 0.1991 0.4691 0.5645  4 Ca 4.15-4.52, 5 Ba 4.25-4.55
Ba 0.5645 0.1991 0.4691  4 Ca 4.15-4.52, 5 Ba 4.25-4.55
Ba 0.4691 0.5645 0.1991  4 Ca 4.15-4.52, 5 Ba 4.25-4.55
Ba 0.0309 0.1537 0.3756  5 Ba 4.08-4.55, 5 Ca 4.15-4.52, 1 Sr 4.24
Ba 0.8463 0.6244 0.9691  5 Ba 4.08-4.55, 5 Ca 4.15-4.52, 1 Sr 4.24
Ba 0.6244 0.9691 0.8463  5 Ba 4.08-4.55, 5 Ca 4.15-4.52, 1 Sr 4.24
Ba 0.9691 0.8463 0.6244  5 Ba 4.08-4.55, 5 Ca 4.15-4.52, 1 Sr 4.24
Ba 0.1537 0.3756 0.0309  5 Ba 4.08-4.55, 5 Ca 4.15-4.52, 1 Sr 4.24
Ba 0.3756 0.0309 0.1537  5 Ba 4.08-4.55, 5 Ca 4.15-4.52, 1 Sr 4.24
Sr 0.0000 0.0000 0.0000  6 Ca 3.92, 6 Ba 4.24
Ca 0.7403 0.8941 0.2623  1 Sr 3.92, 2 Ca 4.06, 6 Ba 4.15-4.27
Ca 0.7377 0.2597 0.1059  1 Sr 3.92, 2 Ca 4.06, 6 Ba 4.15-4.27
Ca 0.1059 0.7377 0.2597  1 Sr 3.92, 2 Ca 4.06, 6 Ba 4.15-4.27
Ca 0.2597 0.1059 0.7377  1 Sr 3.92, 2 Ca 4.06, 6 Ba 4.15-4.27
Ca 0.2623 0.7403 0.8941  1 Sr 3.92, 2 Ca 4.06, 6 Ba 4.15-4.27
Ca 0.8941 0.2623 0.7403  1 Sr 3.92, 2 Ca 4.06, 6 Ba 4.15-4.27

Summary:
N(E_F) ... 1.46 states/eV/atom
SG ... R-3
Spin magnetization ... 0.001 μB per cell



In order of decreasing stability: w, x.



## w
Density functional theory data (PBE) for Ba2SrCa3 after structural relaxation.

Lattice parameters (Å, degrees): 11.3604 9.4634 9.4634 142.81 90.00 90.00
With the nearest neighbours (Å) after each atom.
Element x y z (fractional)
Ba 0.7196 0.3340 0.6659  8 Ca 4.11-4.17, 2 Sr 4.24, 2 Ba 4.27
Ba 0.2196 0.3341 0.6660  8 Ca 4.11-4.17, 2 Sr 4.24, 2 Ba 4.27
Ba 0.2196 0.6660 0.3341  8 Ca 4.11-4.17, 2 Sr 4.24, 2 Ba 4.27
Ba 0.7196 0.6659 0.3340  8 Ca 4.11-4.17, 2 Sr 4.24, 2 Ba 4.27
Sr 0.7197 0.0001 0.0001  8 Ca 4.09-4.14, 4 Ba 4.24
Sr 0.2197 0.9999 0.9999  8 Ca 4.09-4.14, 4 Ba 4.24
Ca 0.4696 0.1638 0.8361  2 Sr 4.09, 6 Ba 4.14-4.17, 4 Ca 4.21-4.32
Ca 0.9696 0.1639 0.8362  2 Sr 4.09, 6 Ba 4.14-4.17, 4 Ca 4.21-4.32
Ca 0.4696 0.5001 0.5001  4 Ba 4.11, 4 Sr 4.14, 4 Ca 4.21
Ca 0.9696 0.4999 0.4999  4 Ba 4.11, 4 Sr 4.14, 4 Ca 4.21
Ca 0.9696 0.8362 0.1639  2 Sr 4.09, 6 Ba 4.14-4.17, 4 Ca 4.21-4.32
Ca 0.4696 0.8361 0.1638  2 Sr 4.09, 6 Ba 4.14-4.17, 4 Ca 4.21-4.32

Summary:
N(E_F) ... 1.24 states/eV/atom
SG ... Cmmm
Spin magnetization ... 0.000 μB per cell



## x
Density functional theory data (PBE) for Ba2SrCa3 after structural relaxation.

Lattice parameters (Å, degrees): 7.7771 7.7771 13.3194 115.36 115.36 62.17
With the nearest neighbours (Å) after each atom.
Element x y z (fractional)
Ba 0.7500 0.2500 0.5000  2 Ba 4.02, 4 Sr 4.34, 8 Ca 4.36
Ba 0.2495 0.7505 0.0000  2 Ba 4.01-4.02, 10 Ca 4.28-4.38, 2 Sr 4.34
Ba 0.2500 0.7500 0.5000  2 Ba 4.02, 4 Sr 4.34, 8 Ca 4.36
Ba 0.7505 0.2495 0.0000  2 Ba 4.01-4.02, 10 Ca 4.28-4.38, 2 Sr 4.34
Sr 0.6667 0.6667 0.3334  5 Ca 3.90-4.02, 6 Ba 4.34
Sr 0.3333 0.3333 0.6666  5 Ca 3.90-4.02, 6 Ba 4.34
Ca 0.3280 0.3280 0.1648  4 Ca 3.78-4.02, 1 Sr 3.91
Ca 0.1632 0.1632 0.8352  4 Ca 3.78-4.02, 1 Sr 3.91
Ca 0.6720 0.6720 0.8352  4 Ca 3.78-4.02, 1 Sr 3.91
Ca 0.8368 0.8368 0.1648  4 Ca 3.78-4.02, 1 Sr 3.91
Ca 0.1644 0.1644 0.3288  2 Ca 3.78, 3 Sr 3.90-4.02
Ca 0.8356 0.8356 0.6712  2 Ca 3.78, 3 Sr 3.90-4.02

Summary:
N(E_F) ... 1.59 states/eV/atom
SG ... Fmmm
Spin magnetization ... 0.000 μB per cell



In order of decreasing stability: w, x.



## w
Density functional theory data (PBE) for BaSr4Ca8 after structural relaxation.

Lattice parameters (Å, degrees): 13.0136 13.0136 13.0136 35.25 35.25 35.25
With the nearest neighbours (Å) after each atom.
Element x y z (fractional)
Ba 0.0000 0.0000 0.0000  6 Sr 3.94, 6 Ca 3.96
Sr 0.5000 0.5000 0.5000  6 Ca 3.65
Sr 0.5000 0.5000 0.0000  4 Sr 3.94, 2 Ba 3.94, 4 Ca 4.02
Sr 0.0000 0.5000 0.5000  4 Sr 3.94, 2 Ba 3.94, 4 Ca 4.02
Sr 0.5000 0.0000 0.5000  2 Ba 3.94, 4 Sr 3.94, 4 Ca 4.02
Ca 0.7666 0.2517 0.2517  3 Sr 3.65-4.02, 4 Ca 3.82-4.06, 1 Ba 3.96
Ca 0.2517 0.2517 0.7666  3 Sr 3.65-4.02, 4 Ca 3.82-4.06, 1 Ba 3.96
Ca 0.2517 0.7666 0.2517  3 Sr 3.65-4.02, 4 Ca 3.82-4.06, 1 Ba 3.96
Ca 0.1909 0.1909 0.1909  9 Ca 4.30-4.38, 3 Sr 4.64
Ca 0.8091 0.8091 0.8091  9 Ca 4.30-4.38, 3 Sr 4.64
Ca 0.7483 0.7483 0.2334  3 Sr 3.65-4.02, 4 Ca 3.82-4.06, 1 Ba 3.96
Ca 0.7483 0.2334 0.7483  3 Sr 3.65-4.02, 4 Ca 3.82-4.06, 1 Ba 3.96
Ca 0.2334 0.7483 0.7483  3 Sr 3.65-4.02, 4 Ca 3.82-4.06, 1 Ba 3.96

Summary:
N(E_F) ... 1.38 states/eV/atom
SG ... R-3m
Spin magnetization ... 0.000 μB per cell



## x
Density functional theory data (PBE) for BaSr4Ca8 after structural relaxation.

Lattice parameters (Å, degrees): 5.7438 18.6108 7.0021 64.16 65.79 81.12
With the nearest neighbours (Å) after each atom.
Element x y z (fractional)
Ba 0.5117 0.9794 0.9973  8 Ca 4.07-4.15, 4 Sr 4.15-4.16
Sr 0.3568 0.4398 0.8466  9 Ca 3.97-4.09, 3 Sr 4.06
Sr 0.8888 0.8199 0.4025  10 Ca 3.99-4.21, 2 Ba 4.16
Sr 0.1341 0.1390 0.5928  10 Ca 3.99-4.21, 2 Ba 4.15
Sr 0.6645 0.5190 0.1520  9 Ca 3.97-4.09, 3 Sr 4.06
Ca 0.0481 0.3635 0.5403  6 Ca 3.98-4.08, 6 Sr 4.00-4.09
Ca 0.4389 0.2162 0.9061  4 Sr 3.97-4.08, 7 Ca 3.98-4.08, 1 Ba 4.15
Ca 0.5836 0.7427 0.0901  4 Sr 3.97-4.07, 7 Ca 3.98-4.08, 1 Ba 4.14
Ca 0.9735 0.5953 0.4578  6 Ca 3.98-4.07, 6 Sr 4.00-4.09
Ca 0.7443 0.2872 0.2242  7 Ca 3.98-4.08, 5 Sr 3.99-4.09
Ca 0.2015 0.8969 0.7002  5 Ca 3.97-4.20, 4 Sr 4.01-4.21, 3 Ba 4.07-4.10
Ca 0.2778 0.6716 0.7729  7 Ca 3.97-4.07, 5 Sr 3.99-4.09
Ca 0.8217 0.0620 0.2947  5 Ca 3.98-4.20, 4 Sr 4.01-4.21, 3 Ba 4.07-4.10

Summary:
N(E_F) ... 1.34 states/eV/atom
SG ... Cm
Spin magnetization ... 0.002 μB per cell



In order of decreasing stability: x, w.



## w
Density functional theory data (PBE) for BaSr8Ca2 after structural relaxation.

Lattice parameters (Å, degrees): 7.0882 10.6520 10.6958 60.14 75.76 60.40
With the nearest neighbours (Å) after each atom.
Element x y z (fractional)
Ba 0.5000 0.0000 0.0000  4 Sr 3.88-4.04
Sr 0.8592 0.0984 0.2315  2 Ca 3.90-4.10, 5 Sr 3.98-4.30
Sr 0.8592 0.3300 0.7685  2 Ca 3.90-4.10, 5 Sr 3.98-4.30
Sr 0.3033 0.4110 0.0000  6 Sr 3.75-4.16, 1 Ba 3.88, 2 Ca 4.01
Sr 0.5000 0.7823 0.4354  2 Ca 3.93, 1 Ba 4.04, 4 Sr 4.20-4.38
Sr 0.5000 0.2177 0.5646  2 Ca 3.93, 1 Ba 4.04, 4 Sr 4.20-4.38
Sr 0.6967 0.5890 0.0000  6 Sr 3.75-4.16, 1 Ba 3.88, 2 Ca 4.01
Sr 0.1408 0.6700 0.2315  2 Ca 3.90-4.10, 5 Sr 3.98-4.30
Sr 0.1408 0.9016 0.7685  2 Ca 3.90-4.10, 5 Sr 3.98-4.30
Ca 0.0000 0.3088 0.3824  8 Sr 3.90-4.10
Ca 0.0000 0.6912 0.6176  8 Sr 3.90-4.10

Summary:
N(E_F) ... 1.30 states/eV/atom
SG ... C2/m
Spin magnetization ... 0.001 μB per cell



## x
Density functional theory data (PBE) for BaSr8Ca2 after structural relaxation.

Lattice parameters (Å, degrees): 7.4429 7.7874 11.1101 110.52 89.43 90.00
With the nearest neighbours (Å) after each atom.
Element x y z (fractional)
Ba 0.0000 0.0000 0.0000  10 Sr 4.17-4.38
Sr 0.5820 0.1563 0.8128  5 Sr 3.89-4.24, 2 Ca 3.92-3.96, 1 Ba 4.17
Sr 0.4180 0.3435 0.1872  5 Sr 3.89-4.24, 2 Ca 3.92-3.96, 1 Ba 4.17
Sr 0.8825 0.2060 0.4119  2 Ca 3.83-3.91
Sr 0.1175 0.7940 0.5881  2 Ca 3.83-3.91
Sr 0.5820 0.6565 0.8128  5 Sr 3.89-4.24, 2 Ca 3.92-3.96, 1 Ba 4.17
Sr 0.4180 0.8437 0.1872  5 Sr 3.89-4.24, 2 Ca 3.92-3.96, 1 Ba 4.17
Sr 0.0885 0.4088 0.8176  1 Ca 3.85, 5 Sr 4.00-4.24
Sr 0.9115 0.5912 0.1824  1 Ca 3.85, 5 Sr 4.00-4.24
Ca 0.3863 0.2567 0.5133  7 Sr 3.83-3.96, 2 Ca 4.25
Ca 0.6137 0.7433 0.4867  7 Sr 3.83-3.96, 2 Ca 4.25

Summary:
N(E_F) ... 1.18 states/eV/atom
SG ... C2/m
Spin magnetization ... 0.000 μB per cell



In order of decreasing stability: x, w.



## w
Density functional theory data (PBE) for Ba4Sr2Ca3 after structural relaxation.

Lattice parameters (Å, degrees): 10.8248 10.5122 10.5122 83.80 64.54 64.54
With the nearest neighbours (Å) after each atom.
Element x y z (fractional)
Ba 0.4102 0.9483 0.7156  5 Ca 4.06-4.30, 4 Ba 4.16-4.32, 1 Sr 4.27
Ba 0.0898 0.2844 0.0517  5 Ca 4.06-4.30, 4 Ba 4.16-4.32, 1 Sr 4.27
Ba 0.5898 0.0517 0.2844  5 Ca 4.06-4.30, 4 Ba 4.16-4.32, 1 Sr 4.27
Ba 0.9102 0.7156 0.9483  5 Ca 4.06-4.30, 4 Ba 4.16-4.32, 1 Sr 4.27
Ba 0.8602 0.8685 0.5824  4 Ca 4.03-4.33, 4 Sr 4.13-4.25, 2 Ba 4.16-4.17
Ba 0.6398 0.4176 0.1315  4 Ca 4.03-4.33, 4 Sr 4.13-4.25, 2 Ba 4.16-4.17
Ba 0.1398 0.1315 0.4176  4 Ca 4.03-4.33, 4 Sr 4.13-4.25, 2 Ba 4.16-4.17
Ba 0.3602 0.5824 0.8685  4 Ca 4.03-4.33, 4 Sr 4.13-4.25, 2 Ba 4.16-4.17
Sr 0.3155 0.7120 0.4931  3 Ca 4.01-4.21, 5 Ba 4.13-4.27, 1 Sr 4.19
Sr 0.1845 0.5069 0.2880  3 Ca 4.01-4.21, 5 Ba 4.13-4.27, 1 Sr 4.19
Sr 0.6845 0.2880 0.5069  3 Ca 4.01-4.21, 5 Ba 4.13-4.27, 1 Sr 4.19
Sr 0.8155 0.4931 0.7120  3 Ca 4.01-4.21, 5 Ba 4.13-4.27, 1 Sr 4.19
Ca 0.9601 0.0781 0.8328  2 Ca 3.91-3.99, 6 Ba 4.03-4.33, 1 Sr 4.21
Ca 0.5399 0.1672 0.9219  2 Ca 3.91-3.99, 6 Ba 4.03-4.33, 1 Sr 4.21
Ca 0.0399 0.9219 0.1672  2 Ca 3.91-3.99, 6 Ba 4.03-4.33, 1 Sr 4.21
Ca 0.4601 0.8328 0.0781  2 Ca 3.91-3.99, 6 Ba 4.03-4.33, 1 Sr 4.21
Ca 0.2500 0.3638 0.6362  4 Sr 4.01-4.04, 6 Ba 4.09-4.33
Ca 0.7500 0.6362 0.3638  4 Sr 4.01-4.04, 6 Ba 4.09-4.33

Summary:
N(E_F) ... 1.53 states/eV/atom
SG ... C2/c
Spin magnetization ... 0.000 μB per cell



## x
Density functional theory data (PBE) for Ba4Sr2Ca3 after structural relaxation.

Lattice parameters (Å, degrees): 4.7330 10.7133 10.3834 108.73 103.17 90.00
With the nearest neighbours (Å) after each atom.
Element x y z (fractional)
Ba 0.5498 0.3323 0.0995  6 Ca 4.04-4.11, 2 Ba 4.26, 1 Sr 4.47
Ba 0.7763 0.6756 0.5526  2 Ca 4.05, 2 Sr 4.20, 4 Ba 4.26-4.27
Ba 0.4502 0.6677 0.9005  6 Ca 4.04-4.11, 2 Ba 4.26, 1 Sr 4.47
Ba 0.2237 0.3244 0.4474  2 Ca 4.05, 2 Sr 4.20, 4 Ba 4.26-4.27
Sr 0.3394 0.0189 0.6787  4 Ca 4.00-4.08, 3 Ba 4.20-4.47, 2 Sr 4.23
Sr 0.6606 0.9811 0.3213  4 Ca 4.00-4.08, 3 Ba 4.20-4.47, 2 Sr 4.23
Ca 0.8885 0.3373 0.7770  2 Sr 4.00, 6 Ba 4.04-4.10
Ca 0.1115 0.6627 0.2230  2 Sr 4.00, 6 Ba 4.04-4.10
Ca 0.0000 0.0000 0.0000  4 Sr 4.08, 4 Ba 4.11

Summary:
N(E_F) ... 1.51 states/eV/atom
SG ... C2/m
Spin magnetization ... 0.000 μB per cell



In order of decreasing stability: x, w.



## w
Density functional theory data (PBE) for Ba3Sr6Ca2 after structural relaxation.

Lattice parameters (Å, degrees): 4.1101 14.1101 10.6447 89.12 101.13 90.00
With the nearest neighbours (Å) after each atom.
Element x y z (fractional)
Ba 0.3621 0.3206 0.7242  1 Ca 4.05, 6 Sr 4.10-4.47, 4 Ba 4.11-4.38
Ba 0.6379 0.6794 0.2758  1 Ca 4.05, 6 Sr 4.10-4.47, 4 Ba 4.11-4.38
Ba 0.0000 0.5000 0.0000  6 Ba 4.11-4.38, 6 Sr 4.12-4.59
Sr 0.0391 0.2129 0.0782  1 Ca 4.05, 8 Sr 4.11-4.39, 3 Ba 4.12-4.47
Sr 0.5952 0.9641 0.1904  3 Ca 3.95-4.07, 7 Sr 4.09-4.31, 1 Ba 4.10
Sr 0.6818 0.3853 0.3636  4 Sr 4.11-4.39, 5 Ba 4.24-4.59, 2 Ca 4.32
Sr 0.9609 0.7871 0.9218  1 Ca 4.05, 8 Sr 4.11-4.39, 3 Ba 4.12-4.47
Sr 0.4048 0.0359 0.8096  3 Ca 3.95-4.07, 7 Sr 4.09-4.31, 1 Ba 4.10
Sr 0.3182 0.6147 0.6364  4 Sr 4.11-4.39, 5 Ba 4.24-4.59, 2 Ca 4.32
Ca 0.7762 0.8778 0.5524  6 Sr 3.95-4.32, 1 Ba 4.05, 4 Ca 4.11-4.15
Ca 0.2238 0.1222 0.4476  6 Sr 3.95-4.32, 1 Ba 4.05, 4 Ca 4.11-4.15

Summary:
N(E_F) ... 1.25 states/eV/atom
SG ... C2/m
Spin magnetization ... 0.000 μB per cell



## x
Density functional theory data (PBE) for Ba3Sr6Ca2 after structural relaxation.

Lattice parameters (Å, degrees): 5.7334 5.7334 20.0998 98.20 98.20 90.00
With the nearest neighbours (Å) after each atom.
Element x y z (fractional)
Ba 0.0000 0.0000 0.0000  8 Ca 4.43
Ba 0.7941 0.7941 0.5882  5 Sr 4.12-4.21
Ba 0.2059 0.2059 0.4118  5 Sr 4.12-4.21
Sr 0.1133 0.6133 0.2265  2 Ca 3.92, 6 Sr 4.05-4.09
Sr 0.6133 0.1133 0.2265  2 Ca 3.92, 6 Sr 4.05-4.09
Sr 0.8867 0.3867 0.7735  2 Ca 3.92, 6 Sr 4.05-4.09
Sr 0.3867 0.8867 0.7735  2 Ca 3.92, 6 Sr 4.05-4.09
Sr 0.6873 0.6873 0.3745  4 Sr 4.09, 5 Ba 4.12-4.21
Sr 0.3127 0.3127 0.6255  4 Sr 4.09, 5 Ba 4.12-4.21
Ca 0.4545 0.4545 0.9089  1 Ca 3.59, 4 Sr 3.92
Ca 0.5455 0.5455 0.0911  1 Ca 3.59, 4 Sr 3.92

Summary:
N(E_F) ... 1.50 states/eV/atom
SG ... I4/mmm
Spin magnetization ... 0.178 μB per cell



In order of decreasing stability: w, x.